Entry 1:
Computed, not measured: a relaxed NdSiAg2Ge crystal at the PBE level of DFT.

a b c (Å): 4.281 4.281 10.946
angles (deg): 90.00 90.00 90.00
Element x y z (fractional)
Nd: 0.000 0.000 0.000
Nd: 0.500 0.500 0.500
Si: 0.000 0.000 0.388
Si: 0.500 0.500 0.888
Ag: 0.000 0.500 0.256
Ag: 0.000 0.500 0.756
Ag: 0.500 0.000 0.256
Ag: 0.500 0.000 0.756
Ge: 0.000 0.000 0.607
Ge: 0.500 0.500 0.107

- space-group type = I4mm, No. 107
- energy (Ha/atom) = -0.166



Entry 2:
Computed, not measured: a relaxed Pm5Sn2Te2 crystal at the PBE level of DFT.

a b c (Å): 8.930 8.930 8.329
angles (deg): 90.00 90.00 55.18
Element x y z (fractional)
Pm: 0.000 0.000 0.000
Pm: 0.033 0.697 0.665
Pm: 0.197 0.533 0.165
Pm: 0.303 0.967 0.665
Pm: 0.467 0.803 0.165
Pm: 0.500 0.500 0.500
Pm: 0.533 0.197 0.835
Pm: 0.697 0.033 0.335
Pm: 0.803 0.467 0.835
Pm: 0.967 0.303 0.335
Sn: 0.133 0.867 0.368
Sn: 0.367 0.633 0.868
Sn: 0.633 0.367 0.132
Sn: 0.867 0.133 0.632
Te: 0.202 0.202 0.000
Te: 0.298 0.298 0.500
Te: 0.702 0.702 0.500
Te: 0.798 0.798 0.000

- space-group type = Cmce, No. 64
- energy (Ha/atom) = -0.194



Entry 3:
Computed, not measured: a relaxed YFeSi2Os crystal at the PBE level of DFT.

a b c (Å): 4.049 4.049 9.724
angles (deg): 90.00 90.00 90.00
Element x y z (fractional)
Y: 0.000 0.000 0.000
Y: 0.500 0.500 0.500
Fe: 0.000 0.500 0.250
Fe: 0.500 0.000 0.750
Si: 0.000 0.000 0.372
Si: 0.000 0.000 0.628
Si: 0.500 0.500 0.128
Si: 0.500 0.500 0.872
Os: 0.000 0.500 0.750
Os: 0.500 0.000 0.250

- space-group type = I-4m2, No. 119
- energy (Ha/atom) = -0.296



Entry 4:
Computed, not measured: a relaxed TbErAsO crystal at the PBE level of DFT.

a b c (Å): 4.176 7.538 5.919
angles (deg): 90.00 90.00 90.00
Element x y z (fractional)
Tb: 0.000 0.212 0.000
Tb: 0.000 0.788 0.500
Er: 0.500 0.388 0.573
Er: 0.500 0.612 0.073
As: 0.000 0.163 0.490
As: 0.000 0.837 0.990
O: 0.500 0.334 0.937
O: 0.500 0.666 0.437

- energy relative to the lowest polymorph listed for this composition (meV/atom) = 0.0
- space-group type = Pmc2_1, No. 26
- energy (Ha/atom) = -0.245



Entry 5:
Computed, not measured: a relaxed RbScW crystal at the PBE level of DFT.

a b c (Å): 6.945 6.945 6.945
angles (deg): 90.00 90.00 90.00
Element x y z (fractional)
Rb: 0.000 0.000 0.000
Rb: 0.000 0.500 0.500
Rb: 0.500 0.000 0.500
Rb: 0.500 0.500 0.000
Sc: 0.250 0.250 0.750
Sc: 0.250 0.750 0.250
Sc: 0.750 0.250 0.250
Sc: 0.750 0.750 0.750
W: 0.250 0.250 0.250
W: 0.250 0.750 0.750
W: 0.750 0.250 0.750
W: 0.750 0.750 0.250

- energy relative to the lowest polymorph listed for this composition (meV/atom) = 551.7
- space-group type = F-43m, No. 216
- energy (Ha/atom) = -0.148



Entry 6:
Computed, not measured: a relaxed ThSiSn crystal at the PBE level of DFT.

a b c (Å): 7.136 7.136 7.136
angles (deg): 90.00 90.00 90.00
Element x y z (fractional)
Th: 0.000 0.000 0.000
Th: 0.000 0.500 0.500
Th: 0.500 0.000 0.500
Th: 0.500 0.500 0.000
Si: 0.250 0.250 0.250
Si: 0.250 0.750 0.750
Si: 0.750 0.250 0.750
Si: 0.750 0.750 0.250
Sn: 0.250 0.250 0.750
Sn: 0.250 0.750 0.250
Sn: 0.750 0.250 0.250
Sn: 0.750 0.750 0.750

- energy relative to the lowest polymorph listed for this composition (meV/atom) = 273.1
- space-group type = F-43m, No. 216
- energy (Ha/atom) = -0.200



Entry 7:
Computed, not measured: a relaxed KCuTcIr crystal at the PBE level of DFT.

a b c (Å): 6.477 6.477 6.477
angles (deg): 90.00 90.00 90.00
Element x y z (fractional)
K: 0.000 0.000 0.000
K: 0.000 0.500 0.500
K: 0.500 0.000 0.500
K: 0.500 0.500 0.000
Cu: 0.250 0.250 0.250
Cu: 0.250 0.750 0.750
Cu: 0.750 0.250 0.750
Cu: 0.750 0.750 0.250
Tc: 0.000 0.000 0.500
Tc: 0.000 0.500 0.000
Tc: 0.500 0.000 0.000
Tc: 0.500 0.500 0.500
Ir: 0.250 0.250 0.750
Ir: 0.250 0.750 0.250
Ir: 0.750 0.250 0.250
Ir: 0.750 0.750 0.750

- energy relative to the lowest polymorph listed for this composition (meV/atom) = 105.0
- space-group type = F-43m, No. 216
- energy (Ha/atom) = -0.178



Entry 8:
Computed, not measured: a relaxed Pr2Dy2CIBr4 crystal at the PBE level of DFT.

a b c (Å): 9.284 9.284 8.542
angles (deg): 103.37 103.37 24.32
Element x y z (fractional)
Pr: 0.143 0.143 0.074
Pr: 0.857 0.857 0.926
Dy: 0.499 0.499 0.191
Dy: 0.501 0.501 0.809
C: 0.000 0.000 0.000
I: 0.000 0.000 0.500
Br: 0.335 0.335 0.180
Br: 0.340 0.340 0.658
Br: 0.660 0.660 0.342
Br: 0.665 0.665 0.820

- energy relative to the lowest polymorph listed for this composition (meV/atom) = 4.8
- space-group type = C2/m, No. 12
- energy (Ha/atom) = -0.183



no.,total moment (μB per cell)
1,0.01
2,0.14
3,1.29
4,0.02
5,9.24
6,0.01
7,0.01
8,0.31